Entry 1:
Density functional theory data (GGA-PBE) for ZrReSb2I after structural relaxation.

Values from the calculation:
Fermi-level density of states in states/eV/cell: 7.9
Polymorph energy (0 for the lowest one) in eV per atom: 0.000
Theoretical density in g cm⁻³: 7.30
Formation energy from raw total energies in eV per atom: 0.9699

```
ZrReSb2I
1.0
-2.3829 1.5893 -4.2190
-0.4268 -4.8302 -1.5785
-4.9875 -0.4273 2.6560
I Re Zr Sb
1 1 1 2
direct
0.0000 0.0000 0.5000
0.0000 0.0000 0.0000
0.5000 0.5000 0.5000
0.0000 0.5000 0.0000
0.5000 0.0000 0.0000
```

Entry 2:
Density functional theory data (GGA-PBE) for ScRe3I after structural relaxation.

Values from the calculation:
Fermi-level density of states in states/eV/cell: 6.1
Polymorph energy (0 for the lowest one) in eV per atom: 0.000
Theoretical density in g cm⁻³: 10.99
Formation energy from raw total energies in eV per atom: 2.2678

```
ScRe3I
1.0
-0.7210 -2.0781 -4.2626
4.7197 -0.7333 -0.4408
-0.4606 -4.2605 2.1550
I Re Sc
1 3 1
direct
0.0000 0.0000 0.0000
0.0000 0.5000 0.0000
0.0000 0.0000 0.5000
0.5000 0.0000 0.0000
0.5000 0.5000 0.5000
```

Entry 3:
Density functional theory data (GGA-PBE) for ScReI2 after structural relaxation.

Values from the calculation:
Fermi-level density of states in states/eV/cell: 6.6
Polymorph energy (0 for the lowest one) in eV per atom: 0.000
Theoretical density in g cm⁻³: 7.80
Formation energy from raw total energies in eV per atom: 0.6556

```
ScReI2
1.0
4.9089 0.0000 0.0000
0.0000 4.9089 0.0000
2.4545 2.4545 8.5655
I Re Sc
4 2 2
direct
0.6444 0.1250 0.2500
0.1056 0.6250 0.2500
0.3750 0.3556 0.7500
0.8750 0.8944 0.7500
0.0000 0.0000 0.0000
0.7500 0.2500 0.5000
0.5000 0.5000 0.0000
0.2500 0.7500 0.5000
```